## MnSi2Cl (PBE-GGA)

Data for crystalline MnSi2Cl at its relaxed geometry.

The total magnetic moment comes out at 4.312 μB/f.u. For the density of states at the Fermi level, the calculation gives 0.519 states/eV/atom. Its raw formation energy is 0.325 eV/atom. The uncorrected energy is -5.1405 eV/atom. The value obtained for the density is 3.363 g/cm3.

The space group is P4/mmm (No. 123) and the conventional cell measures 3.514, 3.514 and 5.859 Å, with angles of 90.00, 90.00 and 90.00 degrees. The asymmetric unit holds Mn at (0.000, 0.000, 0.000), Si at (0.000, 0.500, 0.500) and Cl at (0.500, 0.500, 0.000).

=====

## CaMgAsO4F (PBE-GGA)

Data for crystalline CaMgAsO4F at its relaxed geometry.

The total magnetic moment comes out at 0.000 μB/f.u. For the density of states at the Fermi level, the calculation gives 0.000 states/eV/atom. Its raw formation energy is -2.489 eV/atom. The uncorrected energy is -6.2326 eV/atom. The value obtained for the density is 3.628 g/cm3.

The space group is C2/c (No. 15) and the conventional cell measures 6.807, 9.055 and 7.204 Å, with angles of 90.00, 113.58 and 90.00 degrees. The asymmetric unit holds Ca at (0.000, 0.169, 0.250), Mg at (0.000, 0.500, 0.000), As at (0.000, 0.178, 0.750), O at (0.113, 0.285, 0.619), O at (0.179, 0.059, 0.922) and F at (0.000, 0.418, 0.250).

=====

## BaInBr2 (PBE-GGA)

Data for crystalline BaInBr2 at its relaxed geometry.

The total magnetic moment comes out at 0.000 μB/f.u. For the density of states at the Fermi level, the calculation gives 0.515 states/eV/atom. Its raw formation energy is -1.227 eV/atom. The uncorrected energy is -3.2284 eV/atom. The value obtained for the density is 4.212 g/cm3.

The space group is Cmmm (No. 65) and the conventional cell measures 5.574, 5.583 and 10.439 Å, with angles of 90.00, 90.00 and 90.00 degrees. The asymmetric unit holds Ba at (0.000, 0.000, 0.000), In at (0.000, 0.000, 0.500) and Br at (0.000, 0.500, 0.177).

=====

## ScBe2Co2 (PBE-GGA)

Data for crystalline ScBe2Co2 at its relaxed geometry.

The total magnetic moment comes out at 0.504 μB/f.u. For the density of states at the Fermi level, the calculation gives 0.812 states/eV/atom. The uncorrected energy is -5.8329 eV/atom. The value obtained for the density is 5.060 g/cm3. As for the formation enthalpy at 0 K: -234 meV/atom.

The space group is I4/mmm (No. 139) and the conventional cell measures 3.470, 3.470 and 19.712 Å, with angles of 90.00, 90.00 and 90.00 degrees. The asymmetric unit holds Sc at (0.000, 0.000, 0.125), Be at (0.000, 0.000, 0.319), Be at (0.000, 0.500, 0.000), Co at (0.000, 0.000, 0.433) and Co at (0.000, 0.500, 0.250).

=====

## FeRe2Pb (PBE-GGA)

Data for crystalline FeRe2Pb at its relaxed geometry.

The total magnetic moment comes out at 2.687 μB/f.u. For the density of states at the Fermi level, the calculation gives 1.322 states/eV/atom. The uncorrected energy is -8.7080 eV/atom. The value obtained for the density is 15.386 g/cm3. As for the formation enthalpy at 0 K: 559 meV/atom.

The space group is P4mm (No. 99) and the conventional cell measures 3.043, 3.043 and 7.407 Å, with angles of 90.00, 90.00 and 90.00 degrees. The asymmetric unit holds Fe at (0.000, 0.000, 0.000), Re at (0.000, 0.000, 0.586), Re at (0.500, 0.500, 0.786) and Pb at (0.500, 0.500, 0.277).

=====

## ZrNbCN (PBE-GGA)

Data for crystalline ZrNbCN at its relaxed geometry.

The total magnetic moment comes out at 0.000 μB/f.u. For the density of states at the Fermi level, the calculation gives 0.039 states/eV/atom. Its raw formation energy is -0.887 eV/atom. The uncorrected energy is -9.9291 eV/atom. The value obtained for the density is 7.184 g/cm3.

The space group is R3m (No. 160, hexagonal axes) and the conventional cell measures 3.1855, 3.1855 and 16.5815 Å, with angles of 90.00, 90.00 and 120.00 degrees. The asymmetric unit holds Zr at (0.0000, 0.0000, 0.0000), Nb at (0.0000, 0.0000, 0.1758), C at (0.0000, 0.0000, 0.4249) and N at (0.0000, 0.0000, 0.5890).

=====

## PmSm2ScBi5 (PBE-GGA)

Data for crystalline PmSm2ScBi5 at its relaxed geometry.

The total magnetic moment comes out at 0.000 μB/f.u. For the density of states at the Fermi level, the calculation gives 0.788 states/eV/atom. The uncorrected energy is -4.3858 eV/atom. The value obtained for the density is 7.015 g/cm3. As for the formation enthalpy at 0 K: 50 meV/atom.

The space group is P4/mmm (No. 123) and the conventional cell measures 5.650, 5.650 and 11.386 Å, with angles of 90.00, 90.00 and 90.00 degrees. The asymmetric unit holds Pm at (0.000, 0.000, 0.000), Sm at (0.500, 0.500, 0.199), Sc at (0.000, 0.000, 0.500), Bi at (0.000, 0.000, 0.262), Bi at (0.000, 0.500, 0.000) and Bi at (0.500, 0.500, 0.500).